# Na3Np3MoS8

An optimized crystal structure of Na3Np3MoS8 (PBE, Alexandria).

Cell: 8.1419 8.1419 8.1419 Å, 57.07 57.07 57.07°
Fractional positions:
Na  0.0000  0.5000  0.5000
Na  0.5000  0.0000  0.5000
Na  0.5000  0.5000  0.0000
Np  0.0000  0.0000  0.5000
Np  0.0000  0.5000  0.0000
Np  0.5000  0.0000  0.0000
Mo  0.5000  0.5000  0.5000
S  0.2435  0.2435  0.2435
S  0.2600  0.7270  0.7270
S  0.2730  0.2730  0.7400
S  0.2730  0.7400  0.2730
S  0.7270  0.2600  0.7270
S  0.7270  0.7270  0.2600
S  0.7400  0.2730  0.2730
S  0.7565  0.7565  0.7565

## Properties
Energy relative to the elements, uncorrected: -17.73 eV per formula unit
Magnetization: 14.070 Bohr magnetons per cell